# 1
A plane-wave DFT calculation with PBEsol was carried out for a relaxed Mn11Cu7O24 crystal.

Unit cell a=5.754 b=8.199 c=9.987 alpha=114.66 beta=107.31 gamma=88.67
Fractional positions:
Mn 0.327 0.828 0.166
Mn 0.500 0.000 0.500
Mn 0.000 0.000 0.000
Mn 0.840 0.338 0.166
Mn 0.673 0.172 0.834
Mn 0.000 0.500 0.500
Mn 0.830 0.330 0.660
Mn 0.332 0.332 0.664
Mn 0.170 0.670 0.340
Mn 0.668 0.668 0.336
Mn 0.160 0.662 0.834
Cu 0.577 0.714 0.674
Cu 0.903 0.040 0.326
Cu 0.500 0.000 0.000
Cu 0.097 0.960 0.674
Cu 0.423 0.286 0.326
Cu 0.251 0.377 0.000
Cu 0.749 0.623 0.000
O 0.992 0.729 0.487
O 0.495 0.758 0.487
O 0.637 0.901 0.332
O 0.189 0.903 0.337
O 0.451 0.731 0.000
O 0.015 0.763 0.000
O 0.164 0.900 0.848
O 0.505 0.242 0.513
O 0.316 0.052 0.152
O 0.684 0.948 0.848
O 0.836 0.100 0.152
O 0.008 0.271 0.513
O 0.985 0.237 0.000
O 0.549 0.269 0.000
O 0.363 0.099 0.668
O 0.148 0.433 0.337
O 0.811 0.097 0.663
O 0.695 0.431 0.332
O 0.660 0.395 0.811
O 0.849 0.585 0.189
O 0.151 0.415 0.811
O 0.340 0.605 0.189
O 0.852 0.567 0.663
O 0.305 0.569 0.668

## Properties
- Electronic total energy: -7.647 eV per atom
- Magnetic moment: 28.563 μB per formula unit
- Uncorrected formation energy: -1368 meV/atom
- Space group: C2/m


# 2
A plane-wave DFT calculation with PBEsol was carried out for a relaxed Ca2YP crystal.

Unit cell a=5.183 b=5.183 c=5.183 alpha=60.00 beta=60.00 gamma=60.00
Fractional positions:
Ca 0.000 0.000 0.000
Ca 0.750 0.750 0.750
P 0.500 0.500 0.500
Y 0.250 0.250 0.250

## Properties
- Electronic total energy: -4.271 eV per atom
- Energy relative to the elements: -51 meV per atom
- Magnetic moment: 0.001 μB per formula unit
- Space group: F-43m


# 3
A plane-wave DFT calculation with PBEsol was carried out for a relaxed Y2ScPt crystal.

Unit cell a=3.536 b=5.042 c=6.139 alpha=114.25 beta=106.74 gamma=90.00
Fractional positions:
Y 0.999 0.999 0.998
Y 0.792 0.292 0.584
Sc 0.200 0.700 0.400
Pt 0.509 0.509 0.017

## Properties
- Electronic total energy: -7.426 eV per atom
- Energy relative to the elements: -623 meV per atom
- Magnetic moment: 0.000 μB per formula unit
- Space group: Imm2